Version w
Density functional theory data (PBE) for a relaxed structure of MnV2CoH.

a b c (Å): 3.9161 3.9161 3.2469
angles (deg): 90.00 90.00 90.00
Last column: nearest neighbours and their distance in Å.
Space group P4/mmm (No. 123)
One atom of each set of equivalent atoms:
Mn  0.0000  0.0000  0.0000 [1 per cell]  8 V 2.54, 4 Co 2.77
V  0.0000  0.5000  0.5000 [2 per cell]  2 H 1.96
Co  0.5000  0.5000  0.0000 [1 per cell]  2 H 1.62
H  0.5000  0.5000  0.5000 [1 per cell]  2 Co 1.62

Properties
DOS at the Fermi energy: 5.63 states/eV per cell
Volume: 10.0 Å³ per atom
Crystal system: tetragonal


Version x
Density functional theory data (PBE) for a relaxed structure of MnV2CoH.

a b c (Å): 3.8314 3.8314 3.4187
angles (deg): 90.00 90.00 90.00
Last column: nearest neighbours and their distance in Å.
Space group P4/mmm (No. 123)
One atom of each set of equivalent atoms:
Mn  0.0000  0.0000  0.0000 [1 per cell]  2 H 1.71
V  0.0000  0.5000  0.5000 [2 per cell]  2 H 1.92
Co  0.5000  0.5000  0.0000 [1 per cell]  8 V 2.57, 4 Mn 2.71
H  0.0000  0.0000  0.5000 [1 per cell]  2 Mn 1.71

Properties
DOS at the Fermi energy: 5.86 states/eV per cell
Volume: 10.0 Å³ per atom
Crystal system: tetragonal


Least stable of them? version x.


Version w
Density functional theory data (PBE) for a relaxed structure of MnVCo2H.

a b c (Å): 3.5635 3.5635 3.6769
angles (deg): 90.00 90.00 90.00
Last column: nearest neighbours and their distance in Å.
Space group P4/mmm (No. 123)
One atom of each set of equivalent atoms:
Mn  0.0000  0.0000  0.0000 [1 per cell]  2 H 1.84
V  0.5000  0.5000  0.0000 [1 per cell]  4 Mn 2.52, 8 Co 2.56
Co  0.0000  0.5000  0.5000 [2 per cell]  2 H 1.78
H  0.0000  0.0000  0.5000 [1 per cell]  4 Co 1.78, 2 Mn 1.84

Properties
DOS at the Fermi energy: 3.20 states/eV per cell
Volume: 9.3 Å³ per atom
Crystal system: tetragonal


Version x
Density functional theory data (PBE) for a relaxed structure of MnVCo2H.

a b c (Å): 3.5446 3.5446 3.7485
angles (deg): 90.00 90.00 90.00
Last column: nearest neighbours and their distance in Å.
Space group P4/mmm (No. 123)
One atom of each set of equivalent atoms:
Mn  0.0000  0.0000  0.0000 [1 per cell]  4 V 2.51, 8 Co 2.58
V  0.5000  0.5000  0.0000 [1 per cell]  2 H 1.87
Co  0.0000  0.5000  0.5000 [2 per cell]  2 H 1.77
H  0.5000  0.5000  0.5000 [1 per cell]  4 Co 1.77, 2 V 1.87

Properties
DOS at the Fermi energy: 3.43 states/eV per cell
Volume: 9.4 Å³ per atom
Crystal system: tetragonal


Least stable of them? version x.


Version w
Density functional theory data (PBE) for a relaxed structure of ZrMn2CoH.

a b c (Å): 4.8148 4.8148 3.4103
angles (deg): 90.00 90.00 90.00
Last column: nearest neighbours and their distance in Å.
Space group P4/mmm (No. 123)
One atom of each set of equivalent atoms:
Zr  0.0000  0.0000  0.0000 [1 per cell]  2 H 1.71
Mn  0.0000  0.5000  0.0000 [2 per cell]  2 Zr 2.41
Co  0.5000  0.5000  0.5000 [1 per cell]  8 Mn 2.95
H  0.0000  0.0000  0.5000 [1 per cell]  2 Zr 1.71

Properties
DOS at the Fermi energy: 3.57 states/eV per cell
Volume: 15.8 Å³ per atom
Crystal system: tetragonal


Version x
Density functional theory data (PBE) for a relaxed structure of ZrMn2CoH.

a b c (Å): 3.7149 3.7149 4.3083
angles (deg): 90.00 90.00 90.00
Last column: nearest neighbours and their distance in Å.
Space group P4/mmm (No. 123)
One atom of each set of equivalent atoms:
Zr  0.0000  0.0000  0.0000 [1 per cell]  2 H 2.15
Mn  0.0000  0.5000  0.5000 [2 per cell]  2 H 1.86
Co  0.5000  0.5000  0.0000 [1 per cell]  4 Zr 2.63, 8 Mn 2.84
H  0.0000  0.0000  0.5000 [1 per cell]  4 Mn 1.86

Properties
DOS at the Fermi energy: 3.87 states/eV per cell
Volume: 11.9 Å³ per atom
Crystal system: tetragonal


Least stable of them? version w.


Version w
Density functional theory data (PBE) for a relaxed structure of Ti2CoMoH.

a b c (Å): 4.2649 4.2649 3.3921
angles (deg): 90.00 90.00 90.00
Last column: nearest neighbours and their distance in Å.
Space group P4/mmm (No. 123)
One atom of each set of equivalent atoms:
Ti  0.0000  0.5000  0.0000 [2 per cell]  2 H 2.13
Co  0.0000  0.0000  0.5000 [1 per cell]  8 Ti 2.72, 4 Mo 3.02
Mo  0.5000  0.5000  0.5000 [1 per cell]  2 H 1.70
H  0.5000  0.5000  0.0000 [1 per cell]  2 Mo 1.70

Properties
DOS at the Fermi energy: 2.84 states/eV per cell
Volume: 12.3 Å³ per atom
Crystal system: tetragonal


Version x
Density functional theory data (PBE) for a relaxed structure of Ti2CoMoH.

a b c (Å): 4.3138 4.3138 3.2268
angles (deg): 90.00 90.00 90.00
Last column: nearest neighbours and their distance in Å.
Space group P4/mmm (No. 123)
One atom of each set of equivalent atoms:
Ti  0.0000  0.5000  0.0000 [2 per cell]  2 H 2.16
Co  0.0000  0.0000  0.5000 [1 per cell]  2 H 1.61
Mo  0.5000  0.5000  0.5000 [1 per cell]  8 Ti 2.69
H  0.0000  0.0000  0.0000 [1 per cell]  2 Co 1.61

Properties
DOS at the Fermi energy: 3.77 states/eV per cell
Volume: 12.0 Å³ per atom
Crystal system: tetragonal


Least stable of them? version w.


Version w
Density functional theory data (PBE) for a relaxed structure of Co2MoHW.

a b c (Å): 3.7111 3.7111 3.9567
angles (deg): 90.00 90.00 90.00
Last column: nearest neighbours and their distance in Å.
Space group P4/mmm (No. 123)
One atom of each set of equivalent atoms:
Co  0.0000  0.5000  0.0000 [2 per cell]  2 H 1.86
Mo  0.0000  0.0000  0.5000 [1 per cell]  4 W 2.62, 8 Co 2.71
H  0.5000  0.5000  0.0000 [1 per cell]  4 Co 1.86, 2 W 1.98
W  0.5000  0.5000  0.5000 [1 per cell]  2 H 1.98

Properties
DOS at the Fermi energy: 3.18 states/eV per cell
Volume: 10.9 Å³ per atom
Crystal system: tetragonal


Version x
Density functional theory data (PBE) for a relaxed structure of Co2MoHW.

a b c (Å): 3.7151 3.7151 3.9386
angles (deg): 90.00 90.00 90.00
Last column: nearest neighbours and their distance in Å.
Space group P4/mmm (No. 123)
One atom of each set of equivalent atoms:
Co  0.0000  0.5000  0.0000 [2 per cell]  2 H 1.86
Mo  0.0000  0.0000  0.5000 [1 per cell]  2 H 1.97
H  0.0000  0.0000  0.0000 [1 per cell]  4 Co 1.86, 2 Mo 1.97
W  0.5000  0.5000  0.5000 [1 per cell]  4 Mo 2.63, 8 Co 2.71

Properties
DOS at the Fermi energy: 3.88 states/eV per cell
Volume: 10.9 Å³ per atom
Crystal system: tetragonal


Least stable of them? version w.